# 1
AlMo2Pb after structural relaxation, computed with PBE-GGA.

Computed properties:
Space-group type: No. 123
Density in g cm⁻³: 9.5
Energy above the most stable polymorph in this dataset in eV per atom: 0.196
Formation enthalpy at 0 K in eV/f.u.: 1.527

abc: 3.4390 3.4393 6.2908
angles: 90.00 90.00 90.00
Last column: nearest neighbours and their distance in Å.
Element x y z (fractional)
Pb1 0.5000 0.5000 0.2500  8 Mo 3.11, 2 Al 3.15, 4 Pb 3.44
Al1 0.5000 0.5000 0.7500  8 Mo 2.71
Mo1 0.0000 0.0000 0.9407  1 Mo 2.40
Mo2 0.0000 0.0000 0.5593  1 Mo 2.40



# 2
AlMo2Pb after structural relaxation, computed with PBE-GGA.

Computed properties:
Space-group type: No. 12
Density in g cm⁻³: 9.3
Energy above the most stable polymorph in this dataset in eV per atom: 0.181
Formation enthalpy at 0 K in eV/f.u.: 1.469

abc: 4.9206 4.9206 5.0646
angles: 81.95 81.95 38.90
Last column: nearest neighbours and their distance in Å.
Element x y z (fractional)
Mo1 0.9952 0.9952 0.0634  2 Mo 2.51, 1 Al 2.67
Pb1 0.7500 0.7500 0.7500  6 Mo 2.96-3.11, 4 Al 3.02, 2 Pb 3.28
Mo2 0.5048 0.5048 0.4366  2 Mo 2.51, 1 Al 2.67
Al1 0.2500 0.2500 0.2500  6 Mo 2.67-2.85



- Look up the density of the first one.
  9.5 g cm⁻³



- What is the formula in the first record?
  AlMo2Pb



- Which of these has the lowest formation enthalpy at 0 K?
  number 2



What did the first record say?
AlMo2Pb after structural relaxation, computed with PBE-GGA.

Computed properties:
Space-group type: No. 123
Density in g cm⁻³: 9.5
Energy above the most stable polymorph in this dataset in eV per atom: 0.196
Formation enthalpy at 0 K in eV/f.u.: 1.527

abc: 3.4390 3.4393 6.2908
angles: 90.00 90.00 90.00
Last column: nearest neighbours and their distance in Å.
Element x y z (fractional)
Pb1 0.5000 0.5000 0.2500  8 Mo 3.11, 2 Al 3.15, 4 Pb 3.44
Al1 0.5000 0.5000 0.7500  8 Mo 2.71
Mo1 0.0000 0.0000 0.9407  1 Mo 2.40
Mo2 0.0000 0.0000 0.5593  1 Mo 2.40